Entry 1:
B3MoW | Alexandria via LeMat-Bulk | GGA-PBE | relaxed; energy of formation from the pure elements = 1.616 eV per atom; space group = Pm-3m; E_tot = -7.147 eV/atom
1.0
-2.568 2.268 -2.003
-1.714 -3.255 -1.489
-2.494 -0.098 3.085
Mo B W
1 3 1
Direct
0.000 0.000 0.000 Mo
0.000 0.500 0.000 B
0.000 0.000 0.500 B
0.500 0.000 0.000 B
0.500 0.500 0.500 W

---

Entry 2:
Li2Sn3S6 | Alexandria via LeMat-Bulk | GGA-PBE | relaxed; space group = C2/m; energy relative to the elements, uncorrected = -611 meV per atom; E_tot = -4.302 eV/atom
1.0
-6.290 -2.027 0.611
-3.224 -2.420 -5.177
-0.041 -6.407 1.645
Li Sn S
2 3 6
Direct
0.167 0.666 0.500 Li
0.833 0.334 0.500 Li
0.000 0.000 0.000 Sn
0.332 0.336 0.000 Sn
0.668 0.664 0.000 Sn
0.402 0.671 0.754 S
0.772 0.000 0.752 S
0.073 0.329 0.754 S
0.228 0.000 0.248 S
0.598 0.329 0.246 S
0.927 0.671 0.246 S